A plane-wave DFT calculation with PBE with a Hubbard U was carried out for crystalline FePb2Br2O2 at its relaxed geometry.

The structure in extended XYZ format:
```
7
Lattice="-2.0798 2.0798 8.9758 2.0798 -2.0798 8.9758 2.0798 2.0798 -8.9758" Properties=species:S:1:pos:R:3 pbc="T T T"
Fe 0.0000 0.0000 0.0000
Pb 0.0000 0.0000 7.3015
Pb 0.0000 0.0000 10.6502
Br 0.0000 0.0000 2.9793
Br 0.0000 0.0000 14.9724
O 2.0798 0.0000 0.0000
O 0.0000 2.0798 0.0000
```



A plane-wave DFT calculation with PBE with a Hubbard U was carried out for crystalline Cs2VFe3F12 at its relaxed geometry.

The structure in extended XYZ format:
```
18
Lattice="3.7523 2.1664 6.2252 -3.7523 2.1664 6.2252 0.0000 -4.3328 6.2252" Properties=species:S:1:pos:R:3 pbc="T T T"
Cs 0.0000 0.0000 2.2848
Cs 0.0000 0.0000 16.3908
V 0.0000 0.0000 9.3378
Fe -1.8761 -1.0832 6.2252
Fe -1.8761 1.0832 12.4504
Fe 0.0000 2.1664 6.2252
F 0.0000 -1.7022 5.7940
F -1.4742 0.8511 5.7940
F -1.4226 -0.8213 8.2357
F -1.4742 -0.8511 12.8816
F 0.0000 -1.6426 10.4399
F -1.4226 0.8213 10.4399
F 1.4226 -0.8213 8.2357
F 0.0000 1.6426 8.2357
F 1.4742 0.8511 5.7940
F 1.4226 0.8213 10.4399
F 1.4742 -0.8511 12.8816
F 0.0000 1.7022 12.8816
```



Number 1: E_tot -32.9 eV per cell. Number 2: E_tot -96.7 eV per cell.